A crystal of CrFe2Os relaxed with PBEsol. Source: the Alexandria database, functional meta-GGA SCAN.

Values from the calculation:
Spin magnetization ... 2.7 μB/cell
DFT formation energy ... 0.1744 eV per atom
Fermi-level density of states ... 1.043 states/eV per atom

Cell and atoms, written as CIF:
```
data_CrFe2Os
_cell_length_a 4.350
_cell_length_b 4.350
_cell_length_c 4.355
_cell_angle_alpha 100.20
_cell_angle_beta 100.20
_cell_angle_gamma 34.24
_space_group_name_H-M_alt 'P 1'
_space_group_IT_number 1
loop_
_space_group_symop_operation_xyz
'x,y,z'
loop_
_atom_site_label
_atom_site_type_symbol
_atom_site_fract_x
_atom_site_fract_y
_atom_site_fract_z
_atom_site_occupancy
Cr1 Cr 0.000 0.000 0.000 1
Fe1 Fe 0.252 0.252 0.761 1
Fe2 Fe 0.748 0.748 0.239 1
Os1 Os 0.500 0.500 0.500 1
```